(1)
Density functional theory data (GGA-PBE) for a relaxed structure of Co17Sb.

The structure in CIF format:
```
data_Co17Sb
_chemical_formula_sum 'Co34 Sb2'
_cell_length_a 4.9445
_cell_length_b 4.9445
_cell_length_c 30.8870
_cell_angle_alpha 90.00
_cell_angle_beta 90.00
_cell_angle_gamma 120.00
_space_group_name_H-M_alt 'P -3 m 1'
_space_group_IT_number 164
_space_group_name_Hall '-P 3 2"'
loop_
_atom_site_label
_atom_site_type_symbol
_atom_site_fract_x
_atom_site_fract_y
_atom_site_fract_z
_atom_site_occupancy
Co1 Co 0.0000 0.0000 0.0000 1
Co2 Co 0.0000 0.0000 0.1957 1
Co3 Co 0.0000 0.5000 0.0000 1
Co4 Co 0.0026 0.5013 0.1967 1
Co5 Co 0.1664 0.3327 0.1304 1
Co6 Co 0.1667 0.3334 0.9346 1
Co7 Co 0.1668 0.3337 0.7401 1
Co8 Co 0.3333 0.6667 0.0653 1
Co9 Co 0.3333 0.6667 0.8675 1
Sb1 Sb 0.3333 0.6667 0.2880 1
```

* VASP energy: -123.07 eV per formula unit
* crystal system: trigonal
* V: 654.0 Å³ per cell
* energy above the most stable polymorph in this dataset: 0.005 eV/atom


(2)
Density functional theory data (GGA-PBE) for a relaxed structure of CoSb.

The structure in CIF format:
```
data_CoSb
_chemical_formula_sum 'Co2 Sb2'
_cell_length_a 3.974
_cell_length_b 3.974
_cell_length_c 5.717
_cell_angle_alpha 90.00
_cell_angle_beta 90.00
_cell_angle_gamma 90.00
_space_group_name_H-M_alt 'I -4 m 2'
_space_group_IT_number 119
_space_group_name_Hall 'I -4 -2'
loop_
_atom_site_label
_atom_site_type_symbol
_atom_site_fract_x
_atom_site_fract_y
_atom_site_fract_z
_atom_site_occupancy
Co1 Co 0.000 0.000 0.000 1
Sb1 Sb 0.000 0.500 0.750 1
```

* VASP energy: -10.43 eV per formula unit
* crystal system: tetragonal
* V: 90.3 Å³ per cell